[1]
## Nd3HoGe2C (PBE)

Data for a relaxed structure of Nd3HoGe2C.

Output
- Electronic total energy: -41.3 eV/cell
- Size of the total moment: 0.000 μB per formula unit
- Formation energy from the elements: -0.561 eV/atom

Cell lengths 8.599, 8.599, 8.599 Å; angles 148.01, 147.03, 46.60 degrees
Atoms (fractional coordinates):
Nd  0.000  0.000  0.000
Nd  0.331  0.831  0.500
Nd  0.669  0.169  0.500
Ho  0.500  0.500  0.000
Ge  0.135  0.635  0.500
Ge  0.865  0.365  0.500
C  0.500  0.000  0.500

[2]
## Ho4GePbC (PBE)

Data for a relaxed structure of Ho4GePbC.

Output
- Electronic total energy: -79.9 eV/cell
- Size of the total moment: 0.000 μB per formula unit
- Formation energy from the elements: -0.587 eV/atom

Cell lengths 8.483, 8.483, 6.699 Å; angles 90.00, 90.00, 133.51 degrees
Atoms (fractional coordinates):
Ho  0.000  0.500  0.000
Ho  0.000  0.500  0.500
Ho  0.083  0.917  0.750
Ho  0.408  0.592  0.750
Ho  0.500  0.000  0.000
Ho  0.500  0.000  0.500
Ho  0.592  0.408  0.250
Ho  0.917  0.083  0.250
Ge  0.115  0.885  0.250
Ge  0.885  0.115  0.750
Pb  0.394  0.606  0.250
Pb  0.606  0.394  0.750
C  0.248  0.752  0.750
C  0.752  0.248  0.250

[3]
## Pm3HoGe2C (PBE)

Data for a relaxed structure of Pm3HoGe2C.

Output
- Electronic total energy: -41.4 eV/cell
- Size of the total moment: 0.000 μB per formula unit
- Formation energy from the elements: -0.585 eV/atom

Cell lengths 8.532, 8.532, 8.532 Å; angles 147.86, 147.06, 46.69 degrees
Atoms (fractional coordinates):
Pm  0.000  0.000  0.000
Pm  0.331  0.831  0.500
Pm  0.669  0.169  0.500
Ho  0.500  0.500  0.000
Ge  0.135  0.635  0.500
Ge  0.865  0.365  0.500
C  0.500  0.000  0.500

[4]
## Ho3Ge2RuC (PBE)

Data for a relaxed structure of Ho3Ge2RuC.

Output
- Electronic total energy: -45.3 eV/cell
- Size of the total moment: 0.000 μB per formula unit
- Formation energy from the elements: -0.542 eV/atom

Cell lengths 8.295, 8.295, 8.295 Å; angles 152.37, 147.23, 43.38 degrees
Atoms (fractional coordinates):
Ho  0.000  0.000  0.000
Ho  0.336  0.836  0.500
Ho  0.664  0.164  0.500
Ge  0.146  0.646  0.500
Ge  0.854  0.354  0.500
Ru  0.500  0.500  0.000
C  0.500  0.000  0.500

[5]
## Ho4GeCS2 (PBE)

Data for a relaxed structure of Ho4GeCS2.

Output
- Formation energy (no corrections): -1.28 eV per atom
- Electronic total energy: -50.6 eV/cell
- Size of the total moment: 0.000 μB per formula unit

Cell lengths 6.790, 6.790, 6.790 Å; angles 132.21, 132.21, 69.90 degrees
Atoms (fractional coordinates):
Ho  0.001  0.501  0.500
Ho  0.222  0.222  0.000
Ho  0.499  0.999  0.500
Ho  0.778  0.778  0.000
Ge  0.750  0.250  0.500
C  0.000  0.000  0.000
S  0.250  0.750  0.500
S  0.500  0.500  0.000

[6]
## Ho6GeC2Se3 (PBE)

Data for a relaxed structure of Ho6GeC2Se3.

Output
- Formation energy (no corrections): -1.20 eV per atom
- Electronic total energy: -75.4 eV/cell
- Size of the total moment: 0.000 μB per formula unit

Cell lengths 8.866, 8.866, 8.079 Å; angles 104.59, 104.59, 24.89 degrees
Atoms (fractional coordinates):
Ho  0.019  0.019  0.259
Ho  0.321  0.321  0.441
Ho  0.330  0.330  0.875
Ho  0.670  0.670  0.125
Ho  0.679  0.679  0.559
Ho  0.981  0.981  0.741
Ge  0.500  0.500  0.000
C  0.171  0.171  0.342
C  0.829  0.829  0.658
Se  0.163  0.163  0.831
Se  0.500  0.500  0.500
Se  0.837  0.837  0.169

[7]
## Ho8Ge3CSe3 (PBE)

Data for a relaxed structure of Ho8Ge3CSe3.

Output
- Formation energy (no corrections): -1.11 eV per atom
- Electronic total energy: -86.8 eV/cell
- Size of the total moment: 1.016 μB per formula unit

Cell lengths 8.151, 8.151, 8.151 Å; angles 59.60, 59.60, 59.60 degrees
Atoms (fractional coordinates):
Ho  0.247  0.247  0.247
Ho  0.271  0.721  0.721
Ho  0.279  0.279  0.729
Ho  0.279  0.729  0.279
Ho  0.721  0.271  0.721
Ho  0.721  0.721  0.271
Ho  0.729  0.279  0.279
Ho  0.753  0.753  0.753
Ge  0.000  0.000  0.500
Ge  0.000  0.500  0.000
Ge  0.500  0.000  0.000
C  0.500  0.500  0.500
Se  0.000  0.500  0.500
Se  0.500  0.000  0.500
Se  0.500  0.500  0.000

[8]
## Sm3HoGe2C (PBE)

Data for a relaxed structure of Sm3HoGe2C.

Output
- Electronic total energy: -41.4 eV/cell
- Size of the total moment: 0.000 μB per formula unit
- Formation energy from the elements: -0.597 eV/atom

Cell lengths 8.485, 8.485, 8.485 Å; angles 147.74, 147.07, 46.77 degrees
Atoms (fractional coordinates):
Sm  0.000  0.000  0.000
Sm  0.331  0.831  0.500
Sm  0.669  0.169  0.500
Ho  0.500  0.500  0.000
Ge  0.135  0.635  0.500
Ge  0.865  0.365  0.500
C  0.500  0.000  0.500